1.
This record from Alexandria via LeMat-Bulk describes a relaxed structure of Cs6NaAu. The functional is PBE.

a b c (Å): 9.112 9.112 9.176
angles (deg): 96.85 96.85 109.99
Fractional coordinates of all 8 atoms:
Cs 0.215 0.215 0.653
Cs 0.525 0.185 0.234
Cs 0.785 0.785 0.347
Cs 0.815 0.475 0.766
Cs 0.475 0.815 0.766
Cs 0.185 0.525 0.234
Na 0.000 0.000 0.000
Au 0.500 0.500 0.500

Values from the calculation:
Its space group is C2/m. As for the formation enthalpy at 0 K: -0.56 eV per formula unit.

---

2.
This record from Alexandria via LeMat-Bulk describes a relaxed structure of Cs2NaAu. The functional is PBE.

a b c (Å): 5.278 5.276 9.927
angles (deg): 74.62 74.58 59.99
Fractional coordinates of all 4 atoms:
Cs 0.891 0.653 0.566
Cs 0.715 0.478 0.093
Na 0.469 0.233 0.829
Au 0.135 0.899 0.830

Values from the calculation:
Its space group is R3m. As for the formation enthalpy at 0 K: -0.71 eV per formula unit.

---

3.
This record from Alexandria via LeMat-Bulk describes a relaxed structure of CsNa4Au4. The functional is PBE.

a b c (Å): 5.802 10.005 10.005
angles (deg): 90.00 90.00 90.00
Fractional coordinates of all 18 atoms:
Cs 0.000 0.000 0.000
Cs 0.500 0.500 0.500
Na 0.409 0.374 0.882
Na 0.909 0.618 0.874
Na 0.409 0.626 0.118
Na 0.091 0.126 0.618
Na 0.591 0.882 0.626
Na 0.091 0.874 0.382
Na 0.909 0.382 0.126
Na 0.591 0.118 0.374
Au 0.587 0.824 0.324
Au 0.587 0.176 0.676
Au 0.087 0.824 0.676
Au 0.913 0.324 0.824
Au 0.913 0.676 0.176
Au 0.413 0.324 0.176
Au 0.413 0.676 0.824
Au 0.087 0.176 0.324

Values from the calculation:
Its space group is P4_2/n. As for the formation enthalpy at 0 K: -2.24 eV per formula unit.

---

4.
This record from Alexandria via LeMat-Bulk describes a relaxed structure of CsNa3Au. The functional is PBE.

a b c (Å): 7.309 6.827 8.544
angles (deg): 89.99 90.06 90.01
Fractional coordinates of all 10 atoms:
Cs 0.402 0.298 0.702
Cs 0.902 0.055 0.200
Na 0.374 0.332 0.202
Na 0.447 0.788 0.984
Na 0.948 0.565 0.483
Na 0.873 0.020 0.700
Na 0.948 0.566 0.918
Na 0.449 0.787 0.418
Au 0.207 0.787 0.700
Au 0.707 0.566 0.200

Values from the calculation:
Its space group is P1. As for the formation enthalpy at 0 K: -0.52 eV per formula unit.

---

5.
This record from Alexandria via LeMat-Bulk describes a relaxed structure of Cs5NaAu. The functional is PBE.

a b c (Å): 9.352 9.352 13.107
angles (deg): 96.95 96.95 95.79
Fractional coordinates of all 14 atoms:
Cs 0.897 0.342 0.122
Cs 0.790 0.649 0.503
Cs 0.342 0.897 0.622
Cs 0.111 0.889 0.250
Cs 0.351 0.210 0.997
Cs 0.649 0.790 0.003
Cs 0.889 0.111 0.750
Cs 0.658 0.103 0.378
Cs 0.210 0.351 0.497
Cs 0.103 0.658 0.878
Na 0.424 0.576 0.250
Na 0.576 0.424 0.750
Au 0.000 0.000 0.000
Au 0.000 0.000 0.500

Values from the calculation:
Its space group is C2/c. As for the formation enthalpy at 0 K: -0.60 eV per formula unit.

---

6.
This record from Alexandria via LeMat-Bulk describes a relaxed structure of Cs8NaAu2. The functional is PBE.

a b c (Å): 7.560 10.606 10.606
angles (deg): 111.40 96.51 96.51
Fractional coordinates of all 11 atoms:
Cs 0.916 0.945 0.667
Cs 0.916 0.667 0.945
Cs 0.276 0.615 0.615
Cs 0.500 0.743 0.257
Cs 0.500 0.257 0.743
Cs 0.724 0.385 0.385
Cs 0.084 0.333 0.055
Cs 0.084 0.055 0.333
Na 0.500 0.000 0.000
Au 0.000 0.317 0.683
Au 0.000 0.683 0.317

Values from the calculation:
Its space group is C2/m. As for the formation enthalpy at 0 K: -1.18 eV per formula unit.

---

7.
This record from Alexandria via LeMat-Bulk describes a relaxed structure of Cs3NaAu. The functional is PBE.

a b c (Å): 9.639 8.510 16.705
angles (deg): 90.00 94.72 90.00
Fractional coordinates of all 20 atoms:
Cs 0.626 0.200 0.403
Cs 0.626 0.800 0.903
Cs 0.259 0.384 0.805
Cs 0.113 0.724 0.035
Cs 0.259 0.616 0.305
Cs 0.374 0.800 0.597
Cs 0.887 0.724 0.465
Cs 0.741 0.384 0.695
Cs 0.887 0.276 0.965
Cs 0.741 0.616 0.195
Cs 0.374 0.200 0.097
Cs 0.113 0.276 0.535
Na 0.155 0.119 0.301
Na 0.845 0.119 0.199
Na 0.155 0.881 0.801
Na 0.845 0.881 0.699
Au 0.051 0.373 0.169
Au 0.051 0.627 0.669
Au 0.949 0.373 0.331
Au 0.949 0.627 0.831

Values from the calculation:
Its space group is P2/c. As for the formation enthalpy at 0 K: -0.64 eV per formula unit.

---

8.
This record from Alexandria via LeMat-Bulk describes a relaxed structure of Cs2NaAu. The functional is PBE.

a b c (Å): 5.142 5.142 11.102
angles (deg): 76.61 76.61 60.00
Fractional coordinates of all 4 atoms:
Cs 0.064 0.064 0.807
Cs 0.269 0.269 0.194
Na 0.501 0.501 0.498
Au 0.666 0.666 0.001

Values from the calculation:
Its space group is R3m. As for the formation enthalpy at 0 K: -0.50 eV per formula unit.